# 1
First-principles (PBE) data for B4Mo3S after structural relaxation, as listed in OQMD.

Calculated values
- magnetic moment (Bohr magnetons per cell) = 0.01
- E (eV/cell) = -65.22

Lattice parameters (Å, degrees): 3.0507 3.1000 8.6914 90.00 90.00 90.00
Last column: nearest neighbours and their distance in Å.
Space group Pmmm (No. 47)
Asymmetric unit:
1 B 0.0000 0.0000 0.1077  3 B 1.76-1.87
2 B 0.5000 0.0000 0.2088  2 B 1.76
3 Mo 0.0000 0.5000 0.3045  6 B 2.31-2.33
4 Mo 0.5000 0.5000 0.0000  12 B 2.37-2.39
5 S 0.5000 0.0000 0.5000  2 B 2.53, 8 Mo 2.76

# 2
First-principles (PBE) data for LaYTl2Pd4 after structural relaxation, as listed in OQMD.

Calculated values
- magnetic moment (Bohr magnetons per cell) = 0.01
- E (eV/cell) = -42.08

Lattice parameters (Å, degrees): 4.7113 4.7113 9.0098 90.00 90.00 120.00
Last column: nearest neighbours and their distance in Å.
Space group P-6m2 (No. 187)
Asymmetric unit:
1 La 0.0000 0.0000 0.0000  8 Pd 3.09-3.11
2 Y 0.3333 0.6667 0.5000  8 Pd 2.99-3.07
3 Tl 0.6667 0.3333 0.2611  6 Pd 2.82-2.85
4 Pd 0.0000 0.0000 0.3425  3 Tl 2.82, 4 Pd 2.84-3.14, 3 Y 3.07, 1 La 3.09
5 Pd 0.3333 0.6667 0.1684  3 Tl 2.85, 1 Y 2.99, 4 Pd 3.03-3.14, 3 La 3.11

# 3
First-principles (PBE) data for HoCuAu after structural relaxation, as listed in OQMD.

Calculated values
- calculated formation energy (meV/atom) = -119
- magnetic moment (Bohr magnetons per cell) = 0.00

Lattice parameters (Å, degrees): 6.5792 6.5792 6.5792 90.00 90.00 90.00
Last column: nearest neighbours and their distance in Å.
Space group F-43m (No. 216)
Asymmetric unit:
1 Ho 0.0000 0.0000 0.0000  4 Cu 2.85, 4 Au 2.85
2 Cu 0.2500 0.2500 0.2500  4 Ho 2.85
3 Au 0.2500 0.2500 0.7500  4 Ho 2.85

# 4
First-principles (PBE) data for Dy2FeMo2 after structural relaxation, as listed in OQMD.

Calculated values
- calculated formation energy (meV/atom) = 559
- magnetic moment (Bohr magnetons per cell) = 2.64

Lattice parameters (Å, degrees): 3.3570 3.3570 19.9724 90.00 90.00 120.00
Last column: nearest neighbours and their distance in Å.
Space group P6_3/mmc (No. 194)
Asymmetric unit:
1 Dy 0.3333 0.6667 0.1574  3 Fe 2.68
2 Fe 0.0000 0.0000 0.2500  6 Dy 2.68
3 Mo 0.3333 0.6667 0.5393  3 Mo 2.49

# 5
First-principles (PBE) data for LiPdWAu after structural relaxation, as listed in OQMD.

Calculated values
- excess energy over the best structure of this formula in the dataset (meV per atom) = 64
- magnetic moment (Bohr magnetons per cell) = 0.00

Lattice parameters (Å, degrees): 6.2095 6.2095 6.2095 90.00 90.00 90.00
Last column: nearest neighbours and their distance in Å.
Space group F-43m (No. 216)
Asymmetric unit:
1 Li 0.0000 0.0000 0.0000  4 W 2.69, 4 Au 2.69
2 Pd 0.0000 0.0000 0.5000  4 W 2.69, 4 Au 2.69
3 W 0.2500 0.2500 0.7500  4 Li 2.69, 4 Pd 2.69
4 Au 0.2500 0.2500 0.2500  4 Li 2.69, 4 Pd 2.69

# 6
First-principles (PBE) data for Ta4GaSbC2 after structural relaxation, as listed in OQMD.

Calculated values
- magnetic moment (Bohr magnetons per cell) = 0.01
- E (eV/cell) = -76.09

Lattice parameters (Å, degrees): 3.2433 3.2433 13.3134 90.00 90.00 120.00
Last column: nearest neighbours and their distance in Å.
Space group P-6m2 (No. 187)
Asymmetric unit:
1 Ta 0.0000 0.0000 0.1587  3 C 2.21
2 Ta 0.3333 0.6667 0.3337  3 C 2.20
3 Ga 0.3333 0.6667 0.0000  6 Ta 2.82
4 Sb 0.0000 0.0000 0.5000  6 Ta 2.90, 6 Sb 3.24
5 C 0.6667 0.3333 0.2465  6 Ta 2.20-2.21

- Which of these has the highest magnetic moment?
  Dy2FeMo2

- What is the formula in the second record?
  LaYTl2Pd4

- What is the formula in the sixth record?
  Ta4GaSbC2